1.
## CdInSe2N (GGA-PBE)

Data for a relaxed structure of CdInSe2N.

```
CdInSe2N
1.0
5.437 0.000 0.000
0.000 5.437 0.000
0.000 0.000 4.181
Cd In Se N
1 1 2 1
Cartesian
0.000 0.000 0.000
2.719 2.719 2.090
0.000 2.719 2.090
2.719 0.000 2.090
2.719 2.719 0.000
```

## Properties
- Space group: P4/mmm (123)
- Size of the total moment: 2.09 μB/f.u.
- E: -15.5 eV for the cell shown
- Offset from the most stable computed form: 0.0000 eV/atom
- Formation energy without anion corrections: 699.4 meV per atom

=====

2.
## AlZnGa2Re (GGA-PBE)

Data for a relaxed structure of AlZnGa2Re.

```
AlZnGa2Re
1.0
4.848 0.000 0.000
0.000 4.848 0.000
0.000 0.000 4.921
Al Zn Ga Re
1 1 2 1
Cartesian
0.000 0.000 0.000
2.424 2.424 0.000
0.000 2.424 2.461
2.424 0.000 2.461
2.424 2.424 2.461
```

## Properties
- Space group: P4/mmm (123)
- Size of the total moment: 0.00 μB/f.u.
- E: -20.6 eV for the cell shown

=====

3.
## CdGa2P (GGA-PBE)

Data for a relaxed structure of CdGa2P.

```
CdGa2P
1.0
-3.144 3.144 5.045
3.144 -3.144 5.045
3.144 3.144 -5.045
Cd Ga P
2 4 2
Cartesian
0.000 0.000 0.000
0.000 3.144 2.523
1.572 -1.305 3.784
1.839 1.572 1.261
1.572 4.449 -1.261
1.305 1.572 6.307
3.144 0.000 2.523
0.000 0.000 5.045
```

## Properties
- Space group: I-42d (122)
- Size of the total moment: 0.00 μB/f.u.
- E: -24.3 eV for the cell shown
- Offset from the most stable computed form: 0.0454 eV/atom

=====

4.
## SrLiLuGa (GGA-PBE)

Data for a relaxed structure of SrLiLuGa.

```
SrLiLuGa
1.0
0.000 3.743 3.743
3.743 0.000 3.743
3.743 3.743 0.000
Sr Li Lu Ga
1 1 1 1
Cartesian
0.000 0.000 0.000
1.871 1.871 1.871
3.743 3.743 3.743
5.614 5.614 5.614
```

## Properties
- Space group: F-43m (216)
- Size of the total moment: 0.00 μB/f.u.
- E: -11.7 eV for the cell shown